No. 1
CeTiMnSi2 (PBE, relaxed); spin magnetization = 1.1 μB per formula unit; calculated density = 5.68 Mg/m³; uncorrected formation energy = -621 meV per atom
1.0
-1.999 1.999 5.473
1.999 -1.999 5.473
1.999 1.999 -5.473
Ce Ti Mn Si
1 1 1 2
direct
0.000 0.000 0.000
0.750 0.250 0.500
0.250 0.750 0.500
0.390 0.390 0.000
0.610 0.610 0.000

***

No. 2
ScPb (PBE, relaxed); spin magnetization = 0.0 μB per formula unit; energy relative to the elements = 0.074 eV/atom; calculated density = 6.24 Mg/m³
1.0
5.153 0.000 0.000
-2.577 4.463 0.000
0.000 0.000 5.836
Sc Pb
2 2
direct
0.333 0.667 0.250
0.667 0.333 0.750
0.333 0.667 0.750
0.667 0.333 0.250